# 1
# NaAgHg2Cl6

A relaxed NaAgHg2Cl6 crystal (PBE, the Alexandria database).

The structure in POSCAR format:
```
NaAgHg2Cl6
1.0
-4.887 1.801 4.947
-1.162 -8.298 3.195
5.805 0.706 6.798
Cl Hg Na Ag
12 4 2 2
Direct
0.401 0.556 0.713 Cl
0.400 0.883 0.357 Cl
0.099 0.287 0.444 Cl
0.900 0.357 0.883 Cl
0.120 0.975 0.806 Cl
0.599 0.444 0.287 Cl
0.600 0.117 0.643 Cl
0.380 0.194 0.025 Cl
0.100 0.643 0.117 Cl
0.880 0.025 0.194 Cl
0.901 0.713 0.556 Cl
0.620 0.806 0.975 Cl
0.228 0.809 0.602 Hg
0.272 0.398 0.191 Hg
0.728 0.602 0.809 Hg
0.772 0.191 0.398 Hg
0.250 0.274 0.726 Na
0.750 0.726 0.274 Na
0.750 0.090 0.910 Ag
0.250 0.910 0.090 Ag
```

Computed properties:
The symmetry is No. 15. For the uncorrected formation energy, the calculation gives -792 meV/atom. The value obtained for the electronic total energy is -2.3772 eV per atom. The magnetic moment is 0.000 μB per formula unit.

=====

# 2
# NiAg2HgCl6

A relaxed NiAg2HgCl6 crystal (PBE, the Alexandria database).

The structure in POSCAR format:
```
NiAg2HgCl6
1.0
-0.124 1.422 -6.579
-4.304 -3.215 -4.059
-5.477 3.537 -2.578
Ag Hg Cl Ni
2 1 6 1
Direct
0.029 0.029 0.913 Ag
0.545 0.545 0.364 Ag
0.814 0.814 0.558 Hg
0.561 0.213 0.262 Cl
0.423 0.682 0.786 Cl
0.964 0.561 0.262 Cl
0.682 0.108 0.786 Cl
0.213 0.964 0.262 Cl
0.108 0.423 0.786 Cl
0.321 0.321 0.036 Ni
```

Computed properties:
The symmetry is No. 146. For the uncorrected formation energy, the calculation gives -468 meV/atom. The value obtained for the electronic total energy is -2.7541 eV per atom. The magnetic moment is 1.859 μB per formula unit.

=====

# 3
# AgHg2Cl2O

A relaxed AgHg2Cl2O crystal (PBE, the Alexandria database).

The structure in POSCAR format:
```
AgHg2Cl2O
1.0
-5.361 1.099 4.077
3.717 -1.499 5.291
-0.026 7.438 -2.038
Cl Ag Hg O
4 2 4 2
Direct
0.704 0.068 0.663 Cl
0.204 0.932 0.337 Cl
0.204 0.595 0.663 Cl
0.704 0.405 0.337 Cl
0.454 0.000 0.000 Ag
0.954 0.000 0.000 Ag
0.204 0.156 0.699 Hg
0.704 0.844 0.301 Hg
0.704 0.543 0.699 Hg
0.204 0.457 0.301 Hg
0.204 0.214 0.000 O
0.704 0.786 0.000 O
```

Computed properties:
The symmetry is No. 63. For the uncorrected formation energy, the calculation gives -238 meV/atom. The value obtained for the electronic total energy is -2.2558 eV per atom. The magnetic moment is 0.000 μB per formula unit.

=====

# 4
# Ag3Hg2Cl3O2

A relaxed Ag3Hg2Cl3O2 crystal (PBE, the Alexandria database).

The structure in POSCAR format:
```
Ag3Hg2Cl3O2
1.0
-0.501 -2.505 -3.662
3.082 -2.848 1.526
-9.077 -3.072 6.066
Ag Cl O Hg
3 3 2 2
Direct
0.500 0.500 0.000 Ag
0.887 0.887 0.773 Ag
0.113 0.113 0.227 Ag
0.000 0.000 0.000 Cl
0.384 0.384 0.768 Cl
0.616 0.616 0.232 Cl
0.784 0.784 0.568 O
0.216 0.216 0.432 O
0.250 0.750 0.500 Hg
0.750 0.250 0.500 Hg
```

Computed properties:
The symmetry is No. 139. For the uncorrected formation energy, the calculation gives -262 meV/atom. The value obtained for the electronic total energy is -2.7236 eV per atom. The magnetic moment is 0.000 μB per formula unit.

=====

# 5
# AgHgP2Cl

A relaxed AgHgP2Cl crystal (PBE, the Alexandria database).

The structure in POSCAR format:
```
AgHgP2Cl
1.0
4.878 0.000 0.000
0.000 4.878 0.000
0.000 0.000 5.191
P Cl Hg Ag
2 1 1 1
Direct
0.500 0.000 0.000 P
0.000 0.500 0.000 P
0.000 0.000 0.500 Cl
0.500 0.500 0.500 Hg
0.000 0.000 0.000 Ag
```

Computed properties:
The symmetry is No. 123. For the uncorrected formation energy, the calculation gives 800 meV/atom. The calculation puts the excess energy over the best structure of this formula in the dataset at 0.00 eV per formula unit. The value obtained for the electronic total energy is -2.3635 eV per atom. The magnetic moment is 1.593 μB per formula unit.

=====

# 6
# AgHgPCl2

A relaxed AgHgPCl2 crystal (PBE, the Alexandria database).

The structure in POSCAR format:
```
AgHgPCl2
1.0
5.027 0.000 0.000
0.000 5.027 0.000
0.000 0.000 5.108
Ag Cl P Hg
1 2 1 1
Direct
0.000 0.000 0.000 Ag
0.000 0.500 0.000 Cl
0.500 0.000 0.000 Cl
0.000 0.000 0.500 P
0.500 0.500 0.500 Hg
```

Computed properties:
The symmetry is No. 123. For the uncorrected formation energy, the calculation gives 322 meV/atom. The calculation puts the excess energy over the best structure of this formula in the dataset at 0.00 eV per formula unit. The value obtained for the electronic total energy is -2.1297 eV per atom. The magnetic moment is 1.586 μB per formula unit.

=====

# 7
# AgHgP2Cl

A relaxed AgHgP2Cl crystal (PBE, the Alexandria database).

The structure in POSCAR format:
```
AgHgP2Cl
1.0
4.968 0.000 0.000
0.000 4.968 0.000
0.000 0.000 5.684
P Hg Ag Cl
2 1 1 1
Direct
0.500 0.000 0.000 P
0.000 0.500 0.000 P
0.000 0.000 0.000 Hg
0.500 0.500 0.500 Ag
0.000 0.000 0.500 Cl
```

Computed properties:
The symmetry is No. 123. For the uncorrected formation energy, the calculation gives 997 meV/atom. The calculation puts the excess energy over the best structure of this formula in the dataset at 0.98 eV per formula unit. The value obtained for the electronic total energy is -2.1671 eV per atom. The magnetic moment is 1.764 μB per formula unit.

=====

# 8
# AgHgPCl2

A relaxed AgHgPCl2 crystal (PBE, the Alexandria database).

The structure in POSCAR format:
```
AgHgPCl2
1.0
-5.229 0.269 1.591
-0.781 -5.144 -1.695
1.278 -1.671 4.481
Hg Cl Ag P
1 2 1 1
Direct
0.000 0.000 0.000 Hg
0.000 0.500 0.000 Cl
0.500 0.000 0.000 Cl
0.500 0.500 0.500 Ag
0.000 0.000 0.500 P
```

Computed properties:
The symmetry is No. 123. For the uncorrected formation energy, the calculation gives 466 meV/atom. The calculation puts the excess energy over the best structure of this formula in the dataset at 0.72 eV per formula unit. The value obtained for the electronic total energy is -1.9857 eV per atom. The magnetic moment is 1.871 μB per formula unit.

=====

# 9
# AgHg2PbCl8

A relaxed AgHg2PbCl8 crystal (PBE, the Alexandria database).

The structure in POSCAR format:
```
AgHg2PbCl8
1.0
-7.735 0.240 -0.433
2.121 -7.110 -2.242
2.417 1.464 7.218
Cl Ag Pb Hg
8 1 1 2
Direct
0.745 0.046 0.699 Cl
0.515 0.703 0.812 Cl
0.954 0.653 0.699 Cl
0.297 0.485 0.188 Cl
0.347 0.046 0.301 Cl
0.892 0.703 0.188 Cl
0.297 0.108 0.812 Cl
0.954 0.255 0.301 Cl
0.000 0.000 0.000 Ag
0.250 0.750 0.500 Pb
0.750 0.250 0.500 Hg
0.500 0.500 0.000 Hg
```

Computed properties:
The symmetry is No. 119. For the uncorrected formation energy, the calculation gives -562 meV/atom. The value obtained for the electronic total energy is -2.3901 eV per atom. The magnetic moment is 0.000 μB per formula unit.

=====

# 10
# Ag2HgPdCl6

A relaxed Ag2HgPdCl6 crystal (PBE, the Alexandria database).

The structure in POSCAR format:
```
Ag2HgPdCl6
1.0
-4.966 -1.060 4.742
-7.324 -2.160 -1.386
-1.177 -6.836 1.898
Ag Pd Cl Hg
2 1 6 1
Direct
0.620 0.536 0.147 Ag
0.013 0.096 0.955 Ag
0.316 0.316 0.052 Pd
0.919 0.531 0.266 Cl
0.713 0.102 0.837 Cl
0.147 0.883 0.321 Cl
0.486 0.749 0.782 Cl
0.138 0.384 0.807 Cl
0.494 0.249 0.297 Cl
0.816 0.816 0.551 Hg
```

Computed properties:
The symmetry is No. 2. For the uncorrected formation energy, the calculation gives -478 meV/atom. The value obtained for the electronic total energy is -2.7057 eV per atom. The magnetic moment is 0.000 μB per formula unit.